This record from Alexandria describes an optimized crystal structure of BiAsBr2O. The functional is PBE-GGA.

Cell and atoms, written as POSCAR:
```
BiAsBr2O
1.0
4.792 0.000 0.000
0.000 4.792 0.000
0.000 0.000 4.680
O As Bi Br
1 1 1 2
direct
0.000 0.000 0.000
0.000 0.000 0.500
0.500 0.500 0.500
0.000 0.500 0.000
0.500 0.000 0.000
```

Crystal system: tetragonal
N(E_F) (states/eV/atom): 0.37
Relative energy among the computed polymorphs (eV/f.u.): 0.00


This record from Alexandria describes an optimized crystal structure of Er3TeSe2. The functional is PBE-GGA.

Cell and atoms, written as POSCAR:
```
Er3TeSe2
1.0
3.993 0.000 0.000
0.000 6.810 -1.509
0.000 0.076 11.054
Er Te Se
6 2 4
direct
0.750 0.648 0.647
0.250 0.352 0.353
0.750 0.883 0.348
0.250 0.117 0.652
0.250 0.223 0.996
0.750 0.777 0.004
0.250 0.527 0.829
0.750 0.473 0.171
0.250 0.745 0.490
0.750 0.255 0.510
0.750 0.020 0.823
0.250 0.980 0.177
```

Crystal system: monoclinic
N(E_F) (states/eV/atom): 0.65
Relative energy among the computed polymorphs (eV/f.u.): 0.00


Which of these has the highest N(E_F)? Er3TeSe2


What is the formula in the first record? BiAsBr2O